Material: AgBiRhC2
Method: DFT, PBE
State: relaxed

Cell: 4.014 4.014 5.884 Å, 90.00 90.00 90.00°
Space group P4/mmm (No. 123)
Inequivalent atoms, fractional coordinates:
Ag  0.000  0.000  0.000 (multiplicity 1)
Bi  0.000  0.000  0.500 (multiplicity 1)
Rh  0.500  0.500  0.500 (multiplicity 1)
C  0.000  0.500  0.000 (multiplicity 2)

**DFT total energy**: -4.099 eV/atom
**Energy relative to the elements**: 2407 meV/atom
**Mass density**: 7.77 g cm⁻³